Density functional theory data (GGA-PBE) for a relaxed structure of CdTe2Pb.

The structure in POSCAR format:
```
CdTe2Pb
1.0
4.0155 0.0000 0.0000
0.0000 4.0155 0.0000
0.0000 0.0000 7.3181
Cd Te Pb
1 2 1
Direct
0.5000 0.5000 0.2500
0.0000 0.0000 0.0099
0.0000 0.0000 0.4901
0.5000 0.5000 0.7500
```

Values from the calculation:
V: 29.499 A^3/atom
Energy relative to the elements, uncorrected: -59 meV/atom
Space-group type: P4/mmm
VASP energy: -11.14 eV per cell